# 1
Compound: Tb3InRh2
Source: Alexandria
Functional: PBE
Structure: optimized geometry

Cell lengths 3.3827, 3.3827, 11.9657 Å; angles 90.00, 90.00, 90.00 degrees
Last column: nearest neighbours and their distance in Å.
Space group P4/mmm (No. 123)
Inequivalent atoms, fractional coordinates:
Tb 0.0000 0.0000 0.0000  8 Rh 2.99
Tb 0.0000 0.0000 0.2943  4 Rh 2.95
In 0.5000 0.5000 0.5000  4 In 3.38, 8 Tb 3.43
Rh 0.5000 0.5000 0.1503  8 Tb 2.95-2.99

* formation enthalpy at 0 K: -68 kJ per mole of atoms
* DFT total energy: -5.93 eV per atom



# 2
Compound: Th3Ga
Source: Alexandria
Functional: PBE
Structure: optimized geometry

Cell lengths 4.7916, 4.7916, 9.9516 Å; angles 90.00, 90.00, 90.00 degrees
Last column: nearest neighbours and their distance in Å.
Space group I4/mmm (No. 139)
Inequivalent atoms, fractional coordinates:
Th 0.0000 0.0000 0.0000  4 Ga 3.39, 8 Th 3.45
Th 0.0000 0.5000 0.2500  8 Th 3.39-3.45, 4 Ga 3.45
Ga 0.0000 0.0000 0.5000  12 Th 3.39-3.45

* formation enthalpy at 0 K: -12 kJ per mole of atoms
* DFT total energy: -6.45 eV per atom



# 3
Compound: Ca3Te2I2
Source: Alexandria
Functional: PBE
Structure: optimized geometry

Cell lengths 16.7170, 4.4662, 7.9500 Å; angles 90.00, 115.69, 90.00 degrees
Last column: nearest neighbours and their distance in Å.
Space group C2/m (No. 12)
Inequivalent atoms, fractional coordinates:
Ca 0.0000 0.0000 0.0000  4 Te 3.16, 2 I 3.30
Ca 0.2392 0.5000 0.7525  3 Te 3.11-3.16, 3 I 3.20-3.31
Te 0.1320 0.5000 0.9897  5 Ca 3.11-3.16
I 0.1269 0.0000 0.4548  4 Ca 3.20-3.31

* DFT total energy: -3.78 eV per atom
* formation energy (no corrections): -1.58 eV/atom



# 4
Compound: Hf2RuCF
Source: Alexandria
Functional: PBE
Structure: optimized geometry

Cell lengths 4.4139, 4.4139, 3.7681 Å; angles 90.00, 90.00, 90.00 degrees
Last column: nearest neighbours and their distance in Å.
Space group P4/mmm (No. 123)
Inequivalent atoms, fractional coordinates:
Hf 0.0000 0.5000 0.0000  2 F 2.21
Ru 0.0000 0.0000 0.5000  8 Hf 2.90, 4 C 3.12
C 0.5000 0.5000 0.5000  2 F 1.88
F 0.5000 0.5000 0.0000  2 C 1.88

* DFT total energy: -7.68 eV per atom
* formation energy (no corrections): 0.37 eV/atom



| no. | volume (A^3/atom) |
| --- | --- |
| 1 | 22.82 |
| 2 | 28.56 |
| 3 | 38.20 |
| 4 | 14.68 |